# AlSn3, relaxed, DFT GGA-PBE
# Final energy = -59.813 eV for the cell shown
data_AlSn3
_chemical_formula_sum 'Al4 Sn12'
_symmetry_space_group_name_H-M 'F m -3 m'
_symmetry_Int_Tables_number 225
_symmetry_space_group_name_Hall '-F 4 2 3'
_cell_length_a 7.4336
_cell_length_b 7.4336
_cell_length_c 7.4336
_cell_angle_alpha 90.00
_cell_angle_beta 90.00
_cell_angle_gamma 90.00
loop_
_atom_site_label
_atom_site_type_symbol
_atom_site_fract_x
_atom_site_fract_y
_atom_site_fract_z
Al1 Al 0.0000 0.0000 0.0000
Sn1 Sn 0.0000 0.0000 0.5000
Sn2 Sn 0.2500 0.2500 0.2500

---

# Ba2InSnS4, relaxed, DFT GGA-PBE
# Final energy = -144.587 eV for the cell shown
# ΔE_f (raw) = -1.131 eV/atom
data_Ba2InSnS4
_chemical_formula_sum 'Ba8 In4 Sn4 S16'
_symmetry_space_group_name_H-M 'I m m a'
_symmetry_Int_Tables_number 74
_symmetry_space_group_name_Hall '-I 2b 2'
_cell_length_a 8.5985
_cell_length_b 8.7866
_cell_length_c 12.3224
_cell_angle_alpha 90.00
_cell_angle_beta 90.00
_cell_angle_gamma 90.00
loop_
_atom_site_label
_atom_site_type_symbol
_atom_site_fract_x
_atom_site_fract_y
_atom_site_fract_z
Ba1 Ba 0.0000 0.0000 0.0000
Ba2 Ba 0.2500 0.2500 0.2500
In1 In 0.0000 0.0000 0.5000
Sn1 Sn 0.2500 0.2500 0.7500
S1 S 0.0000 0.0122 0.7435
S2 S 0.2326 0.2500 0.5060